First-principles (GGA-PBE) data for crystalline TaNb2HIr at its relaxed geometry, as listed in Alexandria.

a b c (Å): 4.426 4.426 3.647
angles (deg): 90.00 90.00 90.00
Sites, in units of the cell vectors:
Nb 0.500 0.000 0.000
Nb 0.000 0.500 0.000
H 0.000 0.000 0.000
Ir 0.000 0.000 0.500
Ta 0.500 0.500 0.500

Properties
Distance to the lowest polymorph of the same formula   0 meV per atom

First-principles (GGA-PBE) data for crystalline SmGa5NiIr2 at its relaxed geometry, as listed in Alexandria.

a b c (Å): 4.782 4.782 7.675
angles (deg): 90.00 90.00 90.00
Sites, in units of the cell vectors:
Ga 0.500 0.500 0.500
Ga 0.500 0.000 0.824
Ga 0.000 0.500 0.824
Ga 0.500 0.000 0.176
Ga 0.000 0.500 0.176
Ni 0.000 0.000 0.000
Ir 0.500 0.500 0.201
Ir 0.500 0.500 0.799
Sm 0.000 0.000 0.500

Properties
Energy relative to the elements   -0.176 eV per atom

First-principles (GGA-PBE) data for crystalline TmPuCu2O6 at its relaxed geometry, as listed in Alexandria.

a b c (Å): 5.416 5.417 5.985
angles (deg): 89.99 116.90 120.00
Each line ends with the local moment (μB).
Sites, in units of the cell vectors:
O 0.476 0.091 0.222  0.12
O 0.849 0.612 0.739  0.12
O 0.852 0.760 0.222  0.12
O 0.144 0.383 0.222  0.12
O 0.141 0.236 0.739  0.12
O 0.517 0.904 0.739  0.12
Tm 0.997 0.498 0.480  0.04
Cu 0.507 0.253 0.746  0.33
Cu 0.486 0.742 0.214  0.33
Pu 0.997 0.998 0.980  -2.43

Properties
Formation energy from raw total energies   -2.07 eV per atom

First-principles (GGA-PBE) data for crystalline PmSnAs2 at its relaxed geometry, as listed in Alexandria.

a b c (Å): 5.153 5.153 5.153
angles (deg): 60.00 60.00 60.00
Sites, in units of the cell vectors:
As 0.750 0.750 0.750
As 0.250 0.250 0.250
Pm 0.000 0.000 0.000
Sn 0.500 0.500 0.500

Properties
Energy relative to the elements   -0.443 eV per atom
Distance to the lowest polymorph of the same formula   171 meV per atom

First-principles (GGA-PBE) data for crystalline KTcIr at its relaxed geometry, as listed in Alexandria.

a b c (Å): 8.424 8.208 2.774
angles (deg): 84.84 76.02 19.15
Sites, in units of the cell vectors:
Ir 0.014 0.014 0.986
Tc 0.649 0.649 0.351
K 0.337 0.337 0.663

Properties
Energy relative to the elements   0.876 eV per atom
Distance to the lowest polymorph of the same formula   322 meV per atom

First-principles (GGA-PBE) data for crystalline Sc2AlIr at its relaxed geometry, as listed in Alexandria.

a b c (Å): 7.705 7.705 6.093
angles (deg): 50.78 50.78 90.00
Sites, in units of the cell vectors:
Al 0.500 0.500 0.000
Al 0.250 0.750 0.500
Ir 0.750 0.250 0.500
Ir 0.000 0.000 0.000
Sc 0.875 0.927 0.750
Sc 0.375 0.323 0.750
Sc 0.677 0.125 0.250
Sc 0.073 0.625 0.250

Properties
Energy relative to the elements   -0.255 eV per atom
Distance to the lowest polymorph of the same formula   497 meV per atom

First-principles (GGA-PBE) data for crystalline LaSiSn2 at its relaxed geometry, as listed in Alexandria.

a b c (Å): 8.357 8.357 6.683
angles (deg): 51.30 51.30 90.00
Sites, in units of the cell vectors:
Sn 0.569 0.125 0.250
Sn 0.875 0.819 0.750
Sn 0.375 0.431 0.750
Sn 0.181 0.625 0.250
La 0.000 0.000 0.000
La 0.750 0.250 0.500
Si 0.250 0.750 0.500
Si 0.500 0.500 0.000

Properties
Formation energy from raw total energies   -0.26 eV per atom

First-principles (GGA-PBE) data for crystalline NaNd3Dy3Se8 at its relaxed geometry, as listed in Alexandria.

a b c (Å): 8.259 8.259 8.295
angles (deg): 119.86 90.00 120.00
Sites, in units of the cell vectors:
Dy 0.000 0.500 0.500
Dy 0.500 0.000 0.500
Dy 0.500 0.500 0.500
Nd 0.000 0.000 0.000
Nd 0.000 0.500 0.000
Nd 0.500 0.500 0.000
Se 0.253 0.992 0.745
Se 0.261 0.008 0.255
Se 0.747 0.494 0.255
Se 0.739 0.992 0.745
Se 0.746 0.492 0.738
Se 0.253 0.506 0.745
Se 0.254 0.508 0.262
Se 0.747 0.008 0.255
Na 0.000 0.000 0.500

Properties
Formation energy from raw total energies   -1.79 eV per atom

First-principles (GGA-PBE) data for crystalline Na2LiAlNi at its relaxed geometry, as listed in Alexandria.

a b c (Å): 5.484 4.954 5.484
angles (deg): 90.00 90.00 90.00
Sites, in units of the cell vectors:
Na 0.000 0.000 0.500
Na 0.500 0.000 0.000
Al 0.000 0.000 0.000
Ni 0.500 0.500 0.500
Li 0.000 0.500 0.000

Properties
Energy relative to the elements   0.982 eV per atom

First-principles (GGA-PBE) data for crystalline MoBrN2 at its relaxed geometry, as listed in Alexandria.

a b c (Å): 3.966 3.966 3.966
angles (deg): 60.00 60.00 60.00
Sites, in units of the cell vectors:
N 0.750 0.750 0.750
N 0.250 0.250 0.250
Br 0.000 0.000 0.000
Mo 0.500 0.500 0.500

Properties
Formation energy from raw total energies   1.80 eV per atom
Distance to the lowest polymorph of the same formula   1593 meV per atom

First-principles (GGA-PBE) data for crystalline Dy3TmAl2 at its relaxed geometry, as listed in Alexandria.

a b c (Å): 5.083 6.521 9.429
angles (deg): 90.00 90.00 90.00
Sites, in units of the cell vectors:
Dy 0.000 0.973 0.039
Dy 0.000 0.812 0.675
Dy 0.000 0.473 0.961
Dy 0.000 0.312 0.325
Dy 0.500 0.688 0.178
Dy 0.500 0.188 0.822
Al 0.000 0.794 0.353
Al 0.500 0.207 0.148
Al 0.000 0.294 0.647
Al 0.500 0.707 0.852
Tm 0.500 0.026 0.459
Tm 0.500 0.526 0.541

Properties
Energy relative to the elements   -0.295 eV per atom
Distance to the lowest polymorph of the same formula   0 meV per atom

First-principles (GGA-PBE) data for crystalline TmHg2Ge at its relaxed geometry, as listed in Alexandria.

a b c (Å): 4.901 4.270 4.270
angles (deg): 90.00 90.00 90.00
Sites, in units of the cell vectors:
Hg 0.000 0.000 0.500
Hg 0.000 0.500 0.000
Tm 0.500 0.000 0.000
Ge 0.500 0.500 0.500

Properties
Energy relative to the elements   -0.345 eV per atom
Distance to the lowest polymorph of the same formula   0 meV per atom

Number 1: DOS(E_F) 2.96 states/eV/f.u., magnetization 0.00 Bohr magnetons per cell. Number 2: DOS(E_F) 4.10 states/eV/f.u., magnetization 0.00 Bohr magnetons per cell. Number 3: DOS(E_F) 4.41 states/eV/f.u., magnetization 0.98 Bohr magnetons per cell. Number 4: DOS(E_F) 3.16 states/eV/f.u., magnetization 0.00 Bohr magnetons per cell. Number 5: DOS(E_F) 2.07 states/eV/f.u., magnetization 0.00 Bohr magnetons per cell. Number 6: DOS(E_F) 3.23 states/eV/f.u., magnetization 0.00 Bohr magnetons per cell. Number 7: DOS(E_F) 3.50 states/eV/f.u., magnetization 0.00 Bohr magnetons per cell. Number 8: DOS(E_F) 4.40 states/eV/f.u., magnetization 0.00 Bohr magnetons per cell. Number 9: DOS(E_F) 4.87 states/eV/f.u., magnetization 0.04 Bohr magnetons per cell. Number 10: DOS(E_F) 2.74 states/eV/f.u., magnetization 0.00 Bohr magnetons per cell. Number 11: DOS(E_F) 4.59 states/eV/f.u., magnetization 0.00 Bohr magnetons per cell. Number 12: DOS(E_F) 1.06 states/eV/f.u., magnetization 0.00 Bohr magnetons per cell.